Computed, not measured: a relaxed Sc2CoOs crystal at the PBE level of DFT.

POSCAR file:
```
Sc2CoOs
1.0
3.479 -8.267 -0.213
4.770 -7.114 -2.672
6.010 -6.662 0.031
Co Sc Os
1 2 1
direct
0.000 0.000 0.000 Co
0.088 0.088 0.088 Sc
0.912 0.912 0.912 Sc
0.500 0.500 0.500 Os
```

Energy above the lowest structure with this stoichiometry (meV per atom): 663.6
E_form (meV/atom): 296
Total magnetic moment (Bohr magnetons per cell): 0.00

=====

Computed, not measured: a relaxed ScCo2Os2 crystal at the PBE level of DFT.

POSCAR file:
```
ScCo2Os2
1.0
7.297 0.000 0.000
0.000 7.297 0.000
0.000 0.000 2.662
Sc Co Os
2 4 4
direct
0.000 0.000 0.000 Sc
0.500 0.500 0.000 Sc
0.327 0.173 0.500 Co
0.827 0.327 0.500 Co
0.173 0.673 0.500 Co
0.673 0.827 0.500 Co
0.125 0.375 0.000 Os
0.375 0.875 0.000 Os
0.625 0.125 0.000 Os
0.875 0.625 0.000 Os
```

Energy above the lowest structure with this stoichiometry (meV per atom): 48.3
E_form (meV/atom): 84
Total magnetic moment (Bohr magnetons per cell): 1.31

=====

Computed, not measured: a relaxed Sc2CoOs crystal at the PBE level of DFT.

POSCAR file:
```
Sc2CoOs
1.0
8.339 0.017 0.010
7.772 3.022 0.010
7.772 1.466 2.642
Os Sc Co
1 2 1
direct
0.750 0.750 0.750 Os
0.997 0.997 0.997 Sc
0.503 0.503 0.503 Sc
0.250 0.250 0.250 Co
```

Energy above the lowest structure with this stoichiometry (meV per atom): 390.4
E_form (meV/atom): 23
Total magnetic moment (Bohr magnetons per cell): 0.58

=====

Computed, not measured: a relaxed ScCo2Os crystal at the PBE level of DFT.

POSCAR file:
```
ScCo2Os
1.0
4.110 0.000 0.000
0.000 2.769 0.027
0.000 1.353 4.746
Sc Co Os
1 2 1
direct
0.500 0.783 0.812 Sc
0.500 0.043 0.287 Co
0.000 0.201 0.975 Co
0.000 0.473 0.426 Os
```

Energy above the lowest structure with this stoichiometry (meV per atom): 0.0
E_form (meV/atom): -72
Total magnetic moment (Bohr magnetons per cell): 0.00